## WS3O (PBE+U)

Data for a geometry-optimized WS3O structure.

The calculation puts the relative energy among the computed polymorphs at 0.00 eV/f.u. The value obtained for the total magnetization is 0.00 μB per formula unit.

The structure belongs to space group Pm-3m (No. 221); the cell edges are 4.6511, 4.6511 and 4.6511 Å and the angles 90.00°, 90.00° and 90.00°. The asymmetric unit holds W at (0.0000, 0.0000, 0.0000), S at (0.0000, 0.0000, 0.5000) and O at (0.5000, 0.5000, 0.5000).